Computed, not measured: crystalline CrOs2Au at its relaxed geometry at the PBE-GGA level of DFT.

Cell: 6.177 6.177 6.177 Å, 90.00 90.00 90.00°
Space group Fm-3m (No. 225)
Inequivalent atoms, fractional coordinates:
1 Cr 0.000 0.000 0.000 [4 per cell]
2 Os 0.250 0.250 0.250 [8 per cell]
3 Au 0.000 0.000 0.500 [4 per cell]

Output
Calculated formation energy = 0.731 eV/atom
Energy relative to the lowest polymorph listed for this composition = 10.83 kcal/mol of atoms
Total magnetic moment = 0.00 μB/f.u.
Final energy = -8.109 eV per atom